No. 1
DFT (GGA-PBE) results for a relaxed structure of AlGeAsSe2.

Properties
Uncorrected formation energy, eV/atom: 0.263
Uncorrected energy, eV per atom: -3.733
D(E_F), states/eV/f.u.: 4.066

a b c (Å): 4.8894 4.8894 4.8672
angles (deg): 90.00 90.00 90.00
Sites, in units of the cell vectors:
As (0.0000, 0.0000, 0.5000)
Ge (0.5000, 0.5000, 0.5000)
Se (0.0000, 0.5000, 0.0000)
Se (0.5000, 0.0000, 0.0000)
Al (0.0000, 0.0000, 0.0000)

No. 2
DFT (GGA-PBE) results for a relaxed structure of TaMo3.

Properties
Uncorrected energy, eV per atom: -10.706
D(E_F), states/eV/f.u.: 7.478
DFT formation energy, eV per atom: 0.38

a b c (Å): 4.0635 4.0635 4.0635
angles (deg): 90.00 90.00 90.00
Sites, in units of the cell vectors:
Mo (0.0000, 0.0000, 0.0000)
Mo (0.0000, 0.5000, 0.5000)
Mo (0.5000, 0.0000, 0.5000)
Ta (0.5000, 0.5000, 0.0000)